No. 1
Density functional theory data (GGA-PBE) for a relaxed Sc5As2Se2 crystal.

Summary:
As for the energy relative to the elements, uncorrected: -1.296 eV/atom.

Lattice parameters (Å, degrees): 7.2237 7.2133 7.7035 117.92 90.00 90.00
Closest atoms and distances in Å follow each position.
Sites, in units of the cell vectors:
Se 0.0000 0.8005 0.6010  7 Sc 2.72-2.87
Se 0.0000 0.1995 0.3990  7 Sc 2.72-2.87
Se 0.5000 0.6995 0.3990  7 Sc 2.72-2.87
Se 0.5000 0.3005 0.6010  7 Sc 2.72-2.87
Sc 0.6563 0.2916 0.2683  3 As 2.72-2.86, 3 Se 2.77-2.87
Sc 0.3437 0.9767 0.2683  3 As 2.72-2.86, 3 Se 2.77-2.87
Sc 0.1563 0.2084 0.7317  3 As 2.72-2.86, 3 Se 2.77-2.87
Sc 0.3437 0.7084 0.7317  3 As 2.72-2.86, 3 Se 2.77-2.87
Sc 0.0000 0.0000 0.0000  2 Se 2.72, 4 As 2.75-2.78
Sc 0.5000 0.5000 0.0000  2 Se 2.72, 4 As 2.75-2.78
Sc 0.6563 0.0233 0.7317  3 As 2.72-2.86, 3 Se 2.77-2.87
Sc 0.8437 0.7916 0.2683  3 As 2.72-2.86, 3 Se 2.77-2.87
Sc 0.8437 0.5233 0.7317  3 As 2.72-2.86, 3 Se 2.77-2.87
Sc 0.1563 0.4767 0.2683  3 As 2.72-2.86, 3 Se 2.77-2.87
As 0.3556 0.1465 0.0000  8 Sc 2.72-2.86, 1 As 2.97
As 0.8556 0.3535 0.0000  8 Sc 2.72-2.86, 1 As 2.97
As 0.6444 0.8535 0.0000  8 Sc 2.72-2.86, 1 As 2.97
As 0.1444 0.6465 0.0000  8 Sc 2.72-2.86, 1 As 2.97

---

No. 2
Density functional theory data (GGA-PBE) for a relaxed ScAsSe crystal.

Summary:
As for the energy relative to the elements, uncorrected: -0.863 eV/atom.

Lattice parameters (Å, degrees): 5.6430 5.6428 3.6126 71.33 71.33 37.34
Closest atoms and distances in Å follow each position.
Sites, in units of the cell vectors:
Sc 0.6631 0.6631 0.3369  4 As 2.83, 4 Se 2.87
Se 0.2941 0.2942 0.7059  1 As 2.53
As 0.0428 0.0427 0.9572  1 Se 2.53, 4 Sc 2.83

---

Q: energy relative to the elements, uncorrected of number 1 (Sc5As2Se2)?
A: -1.296 eV/atom